Model P:
DFT (PBE-GGA) results for a relaxed structure of LaPClO2.

abc: 4.2886 4.2886 4.3805
angles: 90.00 90.00 90.00
Closest atoms and distances in Å follow each position.
Sites, in units of the cell vectors:
P: 0.0000 0.0000 0.5000  2 Cl 2.19
O: 0.5000 0.0000 0.0000  2 Cl 2.14
O: 0.0000 0.5000 0.0000  2 Cl 2.14
Cl: 0.0000 0.0000 0.0000  4 O 2.14, 2 P 2.19
La: 0.5000 0.5000 0.5000  4 P 3.03, 8 O 3.07

Values from the calculation:
Crystal system   tetragonal
DOS(E_F)   0.58 states/eV per atom
Total moment   0.000 μB/f.u.

Model Q:
DFT (PBE-GGA) results for a relaxed structure of LaPClO2.

abc: 4.2292 4.2292 6.8398
angles: 90.00 90.00 90.00
Closest atoms and distances in Å follow each position.
Sites, in units of the cell vectors:
O: 0.5000 0.0000 0.0000  2 La 2.11
O: 0.0000 0.5000 0.0000  2 La 2.11
P: 0.0000 0.0000 0.5000  4 Cl 2.99
Cl: 0.5000 0.5000 0.5000  4 P 2.99
La: 0.0000 0.0000 0.0000  4 O 2.11

Values from the calculation:
Crystal system   tetragonal
DOS(E_F)   0.86 states/eV per atom
Total moment   1.623 μB/f.u.

Least stable = model P

Model P:
DFT (PBE-GGA) results for a relaxed structure of BaLi2Ru.

abc: 4.9272 4.9272 4.9272
angles: 120.14 120.14 89.76
Closest atoms and distances in Å follow each position.
Sites, in units of the cell vectors:
Ba: 0.7500 0.2500 0.5000  4 Ru 3.02, 4 Li 3.02
Ru: 0.5000 0.5000 0.0000  4 Li 3.02, 4 Ba 3.02
Li: 0.2500 0.7500 0.5000  4 Li 3.02, 4 Ru 3.02
Li: 0.0000 0.0000 0.0000  4 Li 3.02, 4 Ba 3.02

Values from the calculation:
Crystal system   tetragonal
DOS(E_F)   0.43 states/eV per atom
Total moment   0.000 μB/f.u.

Model Q:
DFT (PBE-GGA) results for a relaxed structure of BaLi2Ru.

abc: 10.5028 10.5028 10.5028
angles: 17.11 17.11 17.11
Closest atoms and distances in Å follow each position.
Sites, in units of the cell vectors:
Li: 0.5208 0.5208 0.5208  3 Ru 2.65
Li: 0.9792 0.9792 0.9792  3 Ru 2.65
Ba: 0.7500 0.7500 0.7500  6 Ba 3.12
Ru: 0.2500 0.2500 0.2500  6 Li 2.65

Values from the calculation:
Crystal system   trigonal
DOS(E_F)   0.83 states/eV per atom
Total moment   0.717 μB/f.u.

Least stable = model Q

Model P:
DFT (PBE-GGA) results for a relaxed structure of CoRe2Cl.

abc: 4.4017 4.4017 2.7726
angles: 90.00 90.00 90.00
Closest atoms and distances in Å follow each position.
Sites, in units of the cell vectors:
Re: 0.0000 0.0000 0.0000  4 Cl 2.60, 4 Co 2.60, 2 Re 2.77
Re: 0.5000 0.5000 0.0000  4 Co 2.60, 4 Cl 2.60, 2 Re 2.77
Cl: 0.5000 0.0000 0.5000  8 Re 2.60, 2 Cl 2.77
Co: 0.0000 0.5000 0.5000  8 Re 2.60, 2 Co 2.77

Values from the calculation:
Crystal system   tetragonal
DOS(E_F)   1.29 states/eV per atom
Total moment   0.288 μB/f.u.

Model Q:
DFT (PBE-GGA) results for a relaxed structure of CoRe2Cl.

abc: 2.8988 3.0294 7.1532
angles: 89.99 90.00 90.00
Closest atoms and distances in Å follow each position.
Sites, in units of the cell vectors:
Cl: 0.0000 0.4996 0.5058  2 Co 2.45, 2 Re 2.54
Re: 0.0000 0.0003 0.9994  6 Re 2.60-2.90, 4 Co 2.61
Re: 0.5000 0.5002 0.2136  2 Cl 2.54, 4 Re 2.60
Co: 0.5000 0.5000 0.7812  2 Cl 2.45, 4 Re 2.61

Values from the calculation:
Crystal system   orthorhombic
DOS(E_F)   1.15 states/eV per atom
Total moment   0.985 μB/f.u.

Least stable = model P

Model P:
DFT (PBE-GGA) results for a relaxed structure of FeCo2Os.

abc: 4.8384 4.8384 4.8384
angles: 146.32 128.39 63.05
Closest atoms and distances in Å follow each position.
Sites, in units of the cell vectors:
Fe: 0.7500 0.2500 0.5000  4 Co 2.41, 4 Os 2.53
Os: 0.2500 0.7500 0.5000  4 Fe 2.53, 4 Co 2.58, 2 Os 2.80
Co: 0.9872 0.9872 0.0000  2 Fe 2.41, 4 Co 2.54, 2 Os 2.58
Co: 0.5128 0.5128 0.0000  2 Fe 2.41, 4 Co 2.54, 2 Os 2.58

Values from the calculation:
Crystal system   orthorhombic
DOS(E_F)   1.34 states/eV per atom
Total moment   6.337 μB/f.u.

Model Q:
DFT (PBE-GGA) results for a relaxed structure of FeCo2Os.

abc: 8.3778 8.3778 8.3778
angles: 17.96 17.96 17.96
Closest atoms and distances in Å follow each position.
Sites, in units of the cell vectors:
Fe: 0.2500 0.2500 0.2500  6 Co 2.50, 6 Fe 2.61
Co: 0.9970 0.9970 0.9970  3 Fe 2.50, 3 Os 2.61, 6 Co 2.61
Co: 0.5030 0.5030 0.5030  3 Fe 2.50, 3 Os 2.61, 6 Co 2.61
Os: 0.7500 0.7500 0.7500  6 Co 2.61, 6 Os 2.61

Values from the calculation:
Crystal system   trigonal
DOS(E_F)   1.19 states/eV per atom
Total moment   5.365 μB/f.u.

Least stable = model P